Density functional theory data (PBE) for a relaxed structure of BaAgGe.

Values from the calculation:
- Symmetry: No. 63
- Formation energy: -295.4 meV per atom

Unit cell a=9.208 b=9.208 c=4.187 alpha=90.00 beta=90.00 gamma=150.03
Fractional coordinates of all 6 atoms:
1 Ba 0.108 0.892 0.750
2 Ba 0.892 0.108 0.250
3 Ag 0.296 0.704 0.750
4 Ag 0.704 0.296 0.250
5 Ge 0.458 0.542 0.750
6 Ge 0.542 0.458 0.250

Density functional theory data (PBE) for a relaxed structure of AgTePt2.

Values from the calculation:
- Symmetry: No. 123
- Formation energy without anion corrections: 0.05 eV/atom

Unit cell a=3.556 b=3.556 c=5.763 alpha=90.00 beta=90.00 gamma=90.00
Fractional coordinates of all 4 atoms:
1 Ag 0.000 0.000 0.000
2 Te 0.000 0.000 0.500
3 Pt 0.500 0.500 0.248
4 Pt 0.500 0.500 0.752

Density functional theory data (PBE) for a relaxed structure of CaZr2TaNb.

Values from the calculation:
- Symmetry: No. 123
- Formation energy: 1439.4 meV per atom

Unit cell a=5.076 b=5.076 c=5.350 alpha=90.00 beta=90.00 gamma=90.00
Fractional coordinates of all 5 atoms:
1 Ca 0.000 0.000 0.000
2 Zr 0.000 0.500 0.500
3 Zr 0.500 0.000 0.500
4 Ta 0.000 0.000 0.500
5 Nb 0.500 0.500 0.000

Density functional theory data (PBE) for a relaxed structure of TmPuCoRh.

Values from the calculation:
- Symmetry: No. 216
- Formation energy: -351.7 meV per atom

Unit cell a=4.752 b=4.752 c=4.752 alpha=60.00 beta=60.00 gamma=60.00
Fractional coordinates of all 4 atoms:
1 Tm 0.000 0.000 0.000
2 Pu 0.500 0.500 0.500
3 Co 0.250 0.250 0.250
4 Rh 0.750 0.750 0.750

Density functional theory data (PBE) for a relaxed structure of Zn3As2O6.

Values from the calculation:
- Relative energy among the computed polymorphs: 10 meV per atom
- Symmetry: No. 14
- Formation energy without anion corrections: -1.37 eV/atom

Unit cell a=8.474 b=5.292 c=16.260 alpha=90.00 beta=97.57 gamma=90.00
Fractional coordinates of all 44 atoms:
1 Zn 0.012 0.023 0.310
2 Zn 0.012 0.477 0.810
3 Zn 0.113 0.107 0.069
4 Zn 0.113 0.393 0.569
5 Zn 0.369 0.128 0.241
6 Zn 0.369 0.372 0.741
7 Zn 0.631 0.628 0.259
8 Zn 0.631 0.872 0.759
9 Zn 0.887 0.607 0.431
10 Zn 0.887 0.893 0.931
11 Zn 0.988 0.523 0.190
12 Zn 0.988 0.977 0.690
13 As 0.237 0.516 0.370
14 As 0.237 0.984 0.870
15 As 0.331 0.612 0.110
16 As 0.331 0.888 0.610
17 As 0.669 0.112 0.390
18 As 0.669 0.388 0.890
19 As 0.763 0.016 0.130
20 As 0.763 0.484 0.630
21 O 0.085 0.667 0.297
22 O 0.085 0.833 0.797
23 O 0.109 0.028 0.949
24 O 0.109 0.472 0.449
25 O 0.139 0.040 0.609
26 O 0.139 0.460 0.109
27 O 0.220 0.202 0.324
28 O 0.220 0.298 0.824
29 O 0.277 0.578 0.645
30 O 0.277 0.922 0.145
31 O 0.427 0.019 0.707
32 O 0.427 0.481 0.207
33 O 0.573 0.519 0.793
34 O 0.573 0.981 0.293
35 O 0.723 0.078 0.855
36 O 0.723 0.422 0.355
37 O 0.780 0.702 0.176
38 O 0.780 0.798 0.676
39 O 0.861 0.540 0.891
40 O 0.861 0.960 0.391
41 O 0.891 0.528 0.551
42 O 0.891 0.972 0.051
43 O 0.915 0.167 0.203
44 O 0.915 0.333 0.703

Density functional theory data (PBE) for a relaxed structure of Ac4Hg5Pd2.

Values from the calculation:
- Symmetry: No. 10
- Formation energy: -588.1 meV per atom

Unit cell a=8.040 b=4.136 c=9.849 alpha=90.00 beta=92.80 gamma=90.00
Fractional coordinates of all 11 atoms:
1 Ac 0.192 0.000 0.354
2 Ac 0.236 0.000 0.924
3 Ac 0.764 0.000 0.076
4 Ac 0.808 0.000 0.646
5 Hg 0.159 0.500 0.638
6 Hg 0.442 0.500 0.167
7 Hg 0.500 0.500 0.500
8 Hg 0.558 0.500 0.833
9 Hg 0.841 0.500 0.362
10 Pd 0.071 0.500 0.134
11 Pd 0.929 0.500 0.866

Q: Number 6 is which compound?
A: Ac4Hg5Pd2